Record 1
## La2BiBr (PBE-GGA)

Data for La2BiBr after structural relaxation.

The offset from the most stable computed form is 0 meV/atom. The calculation puts the formation energy from raw total energies at -456 kJ/mol of formula units. Its space-group type is No. 166. For the density of states at the Fermi level, the calculation gives 0.64 states/eV/atom. Its magnetic moment is 0.000 μB per atom.

Cell: 4.612 4.612 7.602 Å, 72.34 72.34 60.00°
Sites, in units of the cell vectors:
Bi (0.500, 0.500, 0.500)
Br (0.000, 0.000, 0.000)
La (0.255, 0.255, 0.235)
La (0.745, 0.745, 0.765)


Record 2
## SnPPb2N (PBE-GGA)

Data for SnPPb2N after structural relaxation.

The calculation puts the formation energy from raw total energies at 479 kJ/mol of formula units. Its space-group type is No. 123. For the density of states at the Fermi level, the calculation gives 0.48 states/eV/atom. Its magnetic moment is 0.000 μB per atom.

Cell: 5.918 3.952 5.918 Å, 90.00 90.00 90.00°
Sites, in units of the cell vectors:
Pb (0.000, 0.000, 0.500)
Pb (0.500, 0.000, 0.000)
P (0.500, 0.500, 0.500)
Sn (0.000, 0.000, 0.000)
N (0.000, 0.500, 0.000)


- Which value of magnetic moment does entry 2 give?
  0.000 μB per atom


- Number 1 is which compound?
  La2BiBr


- The lowest formation energy from raw total energies belongs to which entry?
  La2BiBr